HSF2: relaxed, PBE.

```
data_HSF2
_space_group_name_H-M_alt 'R -3 m'
_space_group_IT_number 166
_space_group_name_Hall '-R 3 2"'
_cell_length_a 2.7775
_cell_length_b 2.7775
_cell_length_c 17.2837
_cell_angle_alpha 90.00
_cell_angle_beta 90.00
_cell_angle_gamma 120.00
loop_
_atom_site_label
_atom_site_fract_x
_atom_site_fract_y
_atom_site_fract_z
H1 0.0000 0.0000 0.0000
S1 0.0000 0.0000 0.5000
F1 0.0000 0.0000 0.3893
```

# NdScTeP (PBE, relaxed)
data_NdScTeP
_space_group_name_H-M_alt 'R 3 m'
_space_group_IT_number 160
_space_group_name_Hall 'R 3 -2"'
_cell_length_a 4.0408
_cell_length_b 4.0408
_cell_length_c 21.3907
_cell_angle_alpha 90.00
_cell_angle_beta 90.00
_cell_angle_gamma 120.00
loop_
_atom_site_label
_atom_site_fract_x
_atom_site_fract_y
_atom_site_fract_z
Nd1 0.0000 0.0000 0.0000
Sc1 0.0000 0.0000 0.8064
Te1 0.0000 0.0000 0.2285
P1 0.0000 0.0000 0.4133
# - uncorrected formation energy (meV/atom) = -1450

Number 1: electronic total energy -3.0475 eV/atom. Number 2: electronic total energy -6.3631 eV/atom.